Record 1
Entry from the Alexandria database: an optimized crystal structure of LiUAgI6 (PBE-GGA).

Cell: 7.2958 7.2958 13.1178 Å, 90.00 90.00 90.00°
With the nearest neighbours (Å) after each atom.
Space group P4_2nm (No. 102)
Symmetry-distinct sites (fractional):
Li1 0.0000 0.0000 0.0000  6 I 2.97-3.06
U1 0.0000 0.0000 0.3325  6 I 3.00-3.06
Ag1 0.0000 0.0000 0.6627  6 I 3.02-3.12
I1 0.1976 0.1976 0.1643  1 Li 2.97, 1 U 3.00, 1 Ag 3.12
I2 0.2037 0.2037 0.4969  1 U 3.01, 1 Ag 3.02, 1 Li 3.06
I3 0.2038 0.2038 0.8333  1 Li 3.03, 1 U 3.06, 1 Ag 3.07

Output
raw total energy = -31.95 eV per formula unit
theoretical density = 5.3 g cm⁻³
formation energy (no corrections) = -0.733 eV per atom

Record 2
Entry from the Alexandria database: an optimized crystal structure of Np2SbPt (PBE-GGA).

Cell: 3.5318 3.5318 7.5431 Å, 90.00 90.00 90.00°
With the nearest neighbours (Å) after each atom.
Space group P4/mmm (No. 123)
Symmetry-distinct sites (fractional):
Np1 0.0000 0.0000 0.2241  4 Pt 3.02, 4 Sb 3.25
Sb1 0.5000 0.5000 0.5000  8 Np 3.25, 4 Sb 3.53
Pt1 0.5000 0.5000 0.0000  8 Np 3.02

Output
raw total energy = -37.23 eV per formula unit
theoretical density = 14.0 g cm⁻³
distance to the lowest polymorph of the same formula = 0 kJ/mol of formula units
formation energy (no corrections) = -0.297 eV per atom

Record 3
Entry from the Alexandria database: an optimized crystal structure of LiThSc2 (PBE-GGA).

Cell: 3.3402 3.3402 32.2336 Å, 90.00 90.00 120.00°
With the nearest neighbours (Å) after each atom.
Space group R3m (No. 160, hexagonal axes)
Symmetry-distinct sites (fractional):
Li1 0.0000 0.0000 0.0000  6 Sc 3.21-3.23, 6 Li 3.34
Th1 0.0000 0.0000 0.8340  6 Th 3.34, 6 Sc 3.39-3.40
Sc1 0.0000 0.0000 0.4138  3 Li 3.23, 6 Sc 3.34, 3 Th 3.40
Sc2 0.0000 0.0000 0.5870  3 Li 3.21, 6 Sc 3.34, 3 Th 3.39

Output
raw total energy = -21.35 eV per formula unit
theoretical density = 5.3 g cm⁻³
distance to the lowest polymorph of the same formula = 32 kJ/mol of formula units
energy of formation from the pure elements = 0.6 eV per formula unit

Record 4
Entry from the Alexandria database: an optimized crystal structure of P2OsW (PBE-GGA).

Cell: 4.2212 4.2212 2.9742 Å, 90.00 90.00 90.00°
With the nearest neighbours (Å) after each atom.
Space group P4/mmm (No. 123)
Symmetry-distinct sites (fractional):
P1 0.0000 0.5000 0.0000  4 W 2.58, 4 Os 2.58
Os1 0.0000 0.0000 0.5000  8 P 2.58
W1 0.5000 0.5000 0.5000  8 P 2.58

Output
raw total energy = -35.31 eV per formula unit
theoretical density = 13.7 g cm⁻³
distance to the lowest polymorph of the same formula = 34 kJ/mol of formula units
energy of formation from the pure elements = -0.3 eV per formula unit

Record 5
Entry from the Alexandria database: an optimized crystal structure of Te3Pb4Cl (PBE-GGA).

Cell: 4.7383 4.7383 42.0731 Å, 90.00 90.00 120.00°
With the nearest neighbours (Å) after each atom.
Space group R-3m (No. 166, hexagonal axes)
Symmetry-distinct sites (fractional):
Te1 0.0000 0.0000 0.0000  6 Pb 3.27
Te2 0.0000 0.0000 0.2461  6 Pb 3.21-3.32
Pb1 0.0000 0.0000 0.1273  3 Cl 3.20, 3 Te 3.21
Pb2 0.0000 0.0000 0.3761  6 Te 3.27-3.32
Cl1 0.0000 0.0000 0.5000  6 Pb 3.20

Output
raw total energy = -29.59 eV per formula unit
theoretical density = 7.6 g cm⁻³
formation energy (no corrections) = -0.435 eV per atom

Record 6
Entry from the Alexandria database: an optimized crystal structure of CoW2Au (PBE-GGA).

Cell: 2.7540 3.9262 5.6008 Å, 90.00 90.00 90.00°
With the nearest neighbours (Å) after each atom.
Space group Pmmm (No. 47)
Symmetry-distinct sites (fractional):
Co1 0.0000 0.0000 0.0000  8 W 2.71, 2 Co 2.75, 2 Au 2.80
W1 0.5000 0.5000 0.2237  3 W 2.51-2.75, 4 Co 2.71
Au1 0.0000 0.0000 0.5000  2 Au 2.75, 2 Co 2.80, 8 W 2.85

Output
raw total energy = -35.06 eV per formula unit
theoretical density = 17.1 g cm⁻³
distance to the lowest polymorph of the same formula = 25 kJ/mol of formula units
energy of formation from the pure elements = 1.2 eV per formula unit

Record 7
Entry from the Alexandria database: an optimized crystal structure of Cs4Au3I (PBE-GGA).

Cell: 7.5466 15.0270 7.5494 Å, 90.00 90.00 90.00°
With the nearest neighbours (Å) after each atom.
Space group Pmmn (No. 59, origin choice 2)
Symmetry-distinct sites (fractional):
Cs1 0.2500 0.0072 0.2500  5 Au 3.65-3.78, 1 I 3.87
Cs2 0.2500 0.2500 0.7473  4 Au 3.76-3.78, 2 I 3.77
Cs3 0.2500 0.7500 0.7529  4 Au 3.76-3.77, 2 I 3.77
Au1 0.2500 0.0000 0.7497  6 Cs 3.76-3.78
Au2 0.2500 0.2500 0.2467  6 Cs 3.65-3.78
I1 0.2500 0.7500 0.2529  6 Cs 3.77-3.87

Output
raw total energy = -19.76 eV per formula unit
theoretical density = 4.8 g cm⁻³
formation energy (no corrections) = -0.621 eV per atom

Record 8
Entry from the Alexandria database: an optimized crystal structure of EuBiTe2 (PBE-GGA).

Cell: 5.5272 5.5272 4.0159 Å, 90.00 90.00 90.00°
With the nearest neighbours (Å) after each atom.
Space group P4/mmm (No. 123)
Symmetry-distinct sites (fractional):
Eu1 0.0000 0.0000 0.0000  8 Te 3.42
Bi1 0.5000 0.5000 0.0000  8 Te 3.42
Te1 0.0000 0.5000 0.5000  4 Bi 3.42, 4 Eu 3.42

Output
raw total energy = -23.46 eV per formula unit
theoretical density = 8.3 g cm⁻³
distance to the lowest polymorph of the same formula = 0 kJ/mol of formula units
formation energy (no corrections) = -0.756 eV per atom

Record 9
Entry from the Alexandria database: an optimized crystal structure of ThBe17Mo (PBE-GGA).

Cell: 7.5995 7.5995 11.1014 Å, 90.00 90.00 120.00°
With the nearest neighbours (Å) after each atom.
Space group R3m (No. 160, hexagonal axes)
Symmetry-distinct sites (fractional):
Th1 0.0000 0.0000 0.0000  19 Be 2.78-2.96
Be1 0.0000 0.0000 0.2521  4 Be 2.12-2.37
Be2 0.0000 0.0000 0.4428  7 Be 2.12-2.29
Be3 0.0057 0.5028 0.4964  9 Be 2.21-2.44
Be4 0.0068 0.2874 0.3412  6 Be 2.08-2.30
Be5 0.0080 0.5040 0.1802  7 Be 2.16-2.28
Be6 0.1684 0.3367 0.1762  10 Be 2.13-2.37
Mo1 0.0000 0.0000 0.6770  16 Be 2.60-2.86

Output
raw total energy = -82.44 eV per formula unit
theoretical density = 4.3 g cm⁻³
energy of formation from the pure elements = -0.8 eV per formula unit

Record 10
Entry from the Alexandria database: an optimized crystal structure of SrTbGa2 (PBE-GGA).

Cell: 3.8187 3.8187 27.3532 Å, 90.00 90.00 120.00°
With the nearest neighbours (Å) after each atom.
Space group R-3m (No. 166, hexagonal axes)
Symmetry-distinct sites (fractional):
Sr1 0.0000 0.0000 0.0000  6 Ga 3.28
Tb1 0.0000 0.0000 0.5000  6 Ga 3.07
Ga1 0.0000 0.0000 0.2446  3 Tb 3.07, 3 Sr 3.28

Output
raw total energy = -13.34 eV per formula unit
theoretical density = 5.6 g cm⁻³
energy of formation from the pure elements = -1.0 eV per formula unit

Record 11
Entry from the Alexandria database: an optimized crystal structure of Rb2CeDyTe4 (PBE-GGA).

Cell: 7.9912 4.6124 8.9446 Å, 90.00 107.28 90.00°
With the nearest neighbours (Å) after each atom.
Space group P2/m (No. 10)
Symmetry-distinct sites (fractional):
Rb1 0.0000 0.0000 0.0000  6 Te 3.72
Rb2 0.5000 0.5000 0.0000  6 Te 3.65-3.66
Ce1 0.0000 0.5000 0.5000  6 Te 3.21
Dy1 0.5000 0.0000 0.5000  6 Te 3.13-3.14
Te1 0.2422 0.0000 0.7031  1 Dy 3.13, 2 Ce 3.21
Te2 0.2743 0.5000 0.3000  2 Dy 3.14, 1 Ce 3.21

Output
raw total energy = -35.90 eV per formula unit
theoretical density = 5.2 g cm⁻³
formation energy (no corrections) = -1.357 eV per atom

Record 12
Entry from the Alexandria database: an optimized crystal structure of SiH2I (PBE-GGA).

Cell: 5.9485 6.0261 6.2810 Å, 86.22 70.64 60.54°
With the nearest neighbours (Å) after each atom.
Space group P1 (No. 1)
Symmetry-distinct sites (fractional):
Si1 0.0000 0.0000 0.0000  2 H 1.58-1.63
Si2 0.0840 0.5455 0.9026  2 H 1.49
H1 0.0421 0.4313 0.1199  1 Si 1.49
H2 0.1870 0.7629 0.7953  2 Si 1.63-1.72
H3 0.8237 0.8621 0.0858  1 Si 1.58
H4 0.9043 0.5740 0.7733  1 Si 1.49
I1 0.3128 0.7554 0.2368  1 Si 2.59
I2 0.5604 0.2023 0.6647  1 Si 2.52

Output
raw total energy = -13.45 eV per formula unit
theoretical density = 2.8 g cm⁻³
distance to the lowest polymorph of the same formula = 0 kJ/mol of formula units